CaGdLuCd | PBE | optimized geometry

Structure (POSCAR):
```
CaGdLuCd
1.0
0.0000 3.8967 3.8967
3.8967 0.0000 3.8967
3.8967 3.8967 0.0000
Ca Gd Lu Cd
1 1 1 1
direct
0.0000 0.0000 0.0000 Ca
0.5000 0.5000 0.5000 Gd
0.7500 0.7500 0.7500 Lu
0.2500 0.2500 0.2500 Cd
```

**Energy of formation from the pure elements**: -0.0036 eV per atom
**Total magnetization**: 7.18 μB/cell
**Total DFT energy (no corrections)**: -21.53 eV for the cell shown
**Symmetry**: F-43m
**Density of states at the Fermi level**: 2.85 states/eV per cell